No. 1
This record from Alexandria describes a relaxed Pm2YEr5 crystal. The functional is GGA-PBE.

## Properties
Its formation energy is 0.169 eV/atom.

abc: 9.4582 9.4582 6.5198
angles: 97.50 97.50 62.57
Closest atoms and distances in Å follow each position.
Element x y z (fractional)
Pm  0.1670  0.6768  0.8841  1 Y 2.99, 2 Er 3.18-3.31, 1 Pm 3.28
Pm  0.3232  0.8330  0.6159  1 Y 2.99, 2 Er 3.18-3.31, 1 Pm 3.28
Pm  0.6768  0.1670  0.3841  1 Y 2.99, 2 Er 3.18-3.31, 1 Pm 3.28
Pm  0.8330  0.3232  0.1159  1 Y 2.99, 2 Er 3.18-3.31, 1 Pm 3.28
Y  0.0000  0.5000  0.0000  2 Pm 2.99
Y  0.5000  0.0000  0.5000  2 Pm 2.99
Er  0.0107  0.1903  0.6458  3 Pm 3.31-3.49, 1 Y 3.46, 5 Er 3.61-3.71
Er  0.1903  0.0107  0.1458  3 Pm 3.31-3.49, 1 Y 3.46, 5 Er 3.61-3.71
Er  0.2150  0.3914  0.4775  2 Y 3.44-3.48, 1 Pm 3.44, 7 Er 3.61-3.72
Er  0.3914  0.2150  0.9775  2 Y 3.44-3.48, 1 Pm 3.44, 7 Er 3.61-3.72
Er  0.4424  0.5576  0.2500  4 Pm 3.18-3.48, 2 Er 3.45
Er  0.5576  0.4424  0.7500  4 Pm 3.18-3.48, 2 Er 3.45
Er  0.6086  0.7850  0.0225  2 Y 3.44-3.48, 1 Pm 3.44, 7 Er 3.61-3.72
Er  0.7850  0.6086  0.5225  2 Y 3.44-3.48, 1 Pm 3.44, 7 Er 3.61-3.72
Er  0.8097  0.9893  0.8542  3 Pm 3.31-3.49, 1 Y 3.46, 5 Er 3.61-3.71
Er  0.9893  0.8097  0.3542  3 Pm 3.31-3.49, 1 Y 3.46, 5 Er 3.61-3.71

No. 2
This record from Alexandria describes a relaxed Nb3PPt crystal. The functional is GGA-PBE.

## Properties
Its formation energy is 0.130 eV/atom.

abc: 4.5621 4.5621 4.5621
angles: 90.00 90.00 90.00
Closest atoms and distances in Å follow each position.
Element x y z (fractional)
Nb  0.0000  0.0000  0.5000  2 P 2.28
Nb  0.0000  0.5000  0.0000  2 P 2.28
Nb  0.5000  0.0000  0.0000  2 P 2.28
P  0.0000  0.0000  0.0000  6 Nb 2.28
Pt  0.5000  0.5000  0.5000  12 Nb 3.23

No. 3
This record from Alexandria describes a relaxed ZrIrCl crystal. The functional is GGA-PBE.

## Properties
The uncorrected formation energy is -999.2 meV per atom.

abc: 3.6783 3.6783 11.9371
angles: 90.00 90.00 120.00
Closest atoms and distances in Å follow each position.
Element x y z (fractional)
Zr  0.0000  0.0000  0.0000  3 Ir 2.63, 3 Cl 2.76
Zr  0.3333  0.6667  0.6037  3 Ir 2.63, 3 Cl 2.77
Ir  0.0000  0.0000  0.7331  3 Zr 2.63, 3 Ir 2.68
Ir  0.6667  0.3333  0.8702  3 Zr 2.63, 3 Ir 2.68
Cl  0.3333  0.6667  0.1482  3 Zr 2.76
Cl  0.6667  0.3333  0.4552  3 Zr 2.77

No. 4
This record from Alexandria describes a relaxed SbRhW2 crystal. The functional is GGA-PBE.

## Properties
The uncorrected formation energy is 467.6 meV per atom.

abc: 9.2555 9.2555 9.2555
angles: 18.28 18.28 18.28
Closest atoms and distances in Å follow each position.
Element x y z (fractional)
Sb  0.0000  0.0000  0.0000  6 W 2.93, 6 Sb 2.94
Rh  0.5000  0.5000  0.5000  6 W 2.75, 6 Rh 2.94
W  0.2458  0.2458  0.2458  3 Rh 2.75, 3 Sb 2.93, 6 W 2.94
W  0.7542  0.7542  0.7542  3 Rh 2.75, 3 Sb 2.93, 6 W 2.94

No. 5
This record from Alexandria describes a relaxed Be2AlCl crystal. The functional is GGA-PBE.

## Properties
The uncorrected formation energy is 470.3 meV per atom.

abc: 6.1022 6.1022 6.1022
angles: 126.00 126.00 79.89
Closest atoms and distances in Å follow each position.
Element x y z (fractional)
Be  0.0991  0.6250  0.9741  2 Cl 2.20, 2 Al 2.37
Be  0.3750  0.3491  0.4741  2 Cl 2.20, 2 Al 2.37
Be  0.6509  0.1250  0.0259  2 Cl 2.20, 2 Al 2.37
Be  0.8750  0.9009  0.5259  2 Cl 2.20, 2 Al 2.37
Al  0.2500  0.7500  0.5000  4 Be 2.37
Al  0.5000  0.5000  0.0000  4 Be 2.37
Cl  0.0000  0.0000  0.0000  4 Be 2.20
Cl  0.7500  0.2500  0.5000  4 Be 2.20

No. 6
This record from Alexandria describes a relaxed RbTl2Hg4 crystal. The functional is GGA-PBE.

## Properties
Its formation energy is -0.106 eV/atom.

abc: 12.0178 12.0178 12.0178
angles: 162.57 154.91 30.72
Closest atoms and distances in Å follow each position.
Element x y z (fractional)
Rb  0.0000  0.0000  0.0000  2 Rb 3.64, 12 Hg 3.66-3.92
Tl  0.2883  0.7883  0.5000  5 Hg 3.21-3.49
Tl  0.7117  0.2117  0.5000  5 Hg 3.21-3.49
Hg  0.1499  0.6499  0.5000  2 Hg 3.10, 1 Tl 3.21
Hg  0.4222  0.4222  0.0000  2 Hg 3.10
Hg  0.5778  0.5778  0.0000  2 Hg 3.10
Hg  0.8501  0.3501  0.5000  2 Hg 3.10, 1 Tl 3.21

No. 7
This record from Alexandria describes a relaxed LiFeOs2 crystal. The functional is GGA-PBE.

## Properties
Its formation energy is 0.331 eV/atom.

abc: 4.5254 4.5254 4.5254
angles: 131.40 131.40 71.18
Closest atoms and distances in Å follow each position.
Element x y z (fractional)
Li  0.0000  0.0000  0.0000  8 Os 2.62, 4 Fe 2.63
Fe  0.5000  0.5000  0.0000  8 Os 2.62, 4 Li 2.63
Os  0.2500  0.7500  0.5000  4 Fe 2.62, 4 Li 2.62, 4 Os 2.63
Os  0.7500  0.2500  0.5000  4 Fe 2.62, 4 Li 2.62, 4 Os 2.63

No. 8
This record from Alexandria describes a relaxed InPb2F8 crystal. The functional is GGA-PBE.

## Properties
The uncorrected formation energy is -2288.1 meV per atom.

abc: 6.4015 6.4015 4.7732
angles: 105.08 105.08 73.54
Closest atoms and distances in Å follow each position.
Element x y z (fractional)
In  0.0000  0.0000  0.0000  6 F 2.06-2.14
Pb  0.3333  0.3333  0.6423  6 F 2.32-2.56
Pb  0.6667  0.6667  0.3577  6 F 2.32-2.56
F  0.0448  0.6704  0.7367  1 In 2.14
F  0.1263  0.1263  0.7409  1 In 2.06
F  0.3296  0.9552  0.2633  1 In 2.14
F  0.4109  0.4109  0.1844  3 Pb 2.45-2.56
F  0.5891  0.5891  0.8156  3 Pb 2.45-2.56
F  0.6704  0.0448  0.7367  1 In 2.14
F  0.8737  0.8737  0.2591  1 In 2.06
F  0.9552  0.3296  0.2633  1 In 2.14